No. 1
DFT (PBE) results for a relaxed SiMoSe2Br crystal.

extended XYZ file:
```
5
Lattice="4.936 0.000 0.000 0.000 4.936 0.000 0.000 0.000 4.860" Properties=species:S:1:pos:R:3 pbc="T T T"
Si 0.000 0.000 0.000
Mo 2.468 2.468 2.430
Se 0.000 2.468 0.000
Se 2.468 0.000 0.000
Br 0.000 0.000 2.430
```

Summary:
Volume: 118 Å³/f.u.
M_tot: 3.823 μB per formula unit
ΔE to the lowest computed polymorph: 1.04 eV per formula unit
Raw formation energy: 0.741 eV/atom

---

No. 2
DFT (PBE) results for a relaxed SiMoSe2Br crystal.

extended XYZ file:
```
5
Lattice="4.954 0.000 0.000 0.000 4.954 0.000 0.000 0.000 5.145" Properties=species:S:1:pos:R:3 pbc="T T T"
Si 0.000 0.000 0.000
Mo 2.477 2.477 2.572
Se 0.000 2.477 2.572
Se 2.477 0.000 2.572
Br 2.477 2.477 0.000
```

Summary:
Volume: 126 Å³/f.u.
M_tot: 2.241 μB per formula unit
ΔE to the lowest computed polymorph: 0.00 eV per formula unit
Raw formation energy: 0.533 eV/atom

---

No. 3
DFT (PBE) results for a relaxed SiMo2SeBr crystal.

extended XYZ file:
```
5
Lattice="4.901 0.000 0.000 0.000 4.901 0.000 0.000 0.000 4.741" Properties=species:S:1:pos:R:3 pbc="T T T"
Si 0.000 0.000 0.000
Mo 0.000 2.450 0.000
Mo 2.450 0.000 0.000
Se 2.450 2.450 2.371
Br 0.000 0.000 2.371
```

Summary:
Volume: 114 Å³/f.u.
M_tot: 5.450 μB per formula unit
Raw formation energy: 1.286 eV/atom

---

No. 4
DFT (PBE) results for a relaxed SnMoSeBr2 crystal.

extended XYZ file:
```
5
Lattice="5.194 0.000 0.000 0.000 5.194 0.000 0.000 0.000 5.093" Properties=species:S:1:pos:R:3 pbc="T T T"
Sn 0.000 0.000 0.000
Mo 2.597 2.597 2.547
Se 2.597 2.597 0.000
Br 0.000 2.597 2.547
Br 2.597 0.000 2.547
```

Summary:
Volume: 137 Å³/f.u.
M_tot: 3.018 μB per formula unit
ΔE to the lowest computed polymorph: 0.00 eV per formula unit
Raw formation energy: 0.120 eV/atom

---

No. 5
DFT (PBE) results for a relaxed TaMoSe2Br crystal.

extended XYZ file:
```
5
Lattice="5.059 0.000 0.000 0.000 5.059 0.000 0.000 0.000 5.101" Properties=species:S:1:pos:R:3 pbc="T T T"
Ta 0.000 0.000 0.000
Mo 2.530 2.530 2.551
Se 0.000 2.530 0.000
Se 2.530 0.000 0.000
Br 0.000 0.000 2.551
```

Summary:
Volume: 131 Å³/f.u.
M_tot: 4.939 μB per formula unit
ΔE to the lowest computed polymorph: 0.00 eV per formula unit
Raw formation energy: 0.593 eV/atom

---

No. 6
DFT (PBE) results for a relaxed TaMoSe2Br crystal.

extended XYZ file:
```
5
Lattice="4.943 0.000 0.000 0.000 4.943 0.000 0.000 0.000 4.992" Properties=species:S:1:pos:R:3 pbc="T T T"
Ta 0.000 0.000 0.000
Mo 2.471 2.471 2.496
Se 0.000 2.471 2.496
Se 2.471 0.000 2.496
Br 2.471 2.471 0.000
```

Summary:
Volume: 122 Å³/f.u.
M_tot: 4.458 μB per formula unit
ΔE to the lowest computed polymorph: 1.93 eV per formula unit
Raw formation energy: 0.979 eV/atom

---

No. 7
DFT (PBE) results for a relaxed TcMoSe2Br crystal.

extended XYZ file:
```
5
Lattice="4.885 0.000 0.000 0.000 4.885 0.000 0.000 0.000 5.291" Properties=species:S:1:pos:R:3 pbc="T T T"
Tc 0.000 0.000 0.000
Mo 2.442 2.442 2.646
Se 0.000 2.442 2.646
Se 2.442 0.000 2.646
Br 2.442 2.442 0.000
```

Summary:
Volume: 126 Å³/f.u.
M_tot: 4.845 μB per formula unit
ΔE to the lowest computed polymorph: 0.00 eV per formula unit
Raw formation energy: 0.871 eV/atom

---

No. 8
DFT (PBE) results for a relaxed Te2Mo3Se7Br10 crystal.

extended XYZ file:
```
44
Lattice="11.359 0.000 0.000 3.328 11.239 0.000 1.318 0.764 12.764" Properties=species:S:1:pos:R:3 pbc="T T T"
Te 1.651 1.474 4.779
Te 3.666 2.941 9.914
Te 12.339 9.061 2.850
Te 14.354 10.528 7.985
Mo 6.441 3.350 9.942
Mo 7.815 5.092 8.286
Mo 8.113 5.249 11.056
Mo 7.893 6.753 1.708
Mo 8.190 6.910 4.477
Mo 9.565 8.652 2.822
Se 5.990 5.800 9.851
Se 5.927 7.138 3.308
Se 6.528 3.741 12.525
Se 5.992 3.441 7.334
Se 7.631 9.275 1.271
Se 7.986 9.470 4.650
Se 6.821 4.971 3.326
Se 9.185 7.031 9.437
Se 8.019 2.532 8.113
Se 8.374 2.727 11.493
Se 10.013 8.561 5.429
Se 9.477 8.261 0.238
Se 10.078 4.865 9.456
Se 10.015 6.202 2.913
Br 3.071 8.402 6.539
Br 2.517 5.244 9.519
Br 4.057 9.373 10.062
Br 2.960 2.799 12.345
Br 5.734 11.227 7.184
Br 5.323 10.152 3.205
Br 4.123 1.971 4.106
Br 7.286 7.305 12.562
Br 6.699 6.965 6.755
Br 5.555 0.816 10.175
Br 10.451 11.186 2.588
Br 9.306 5.037 6.008
Br 8.719 4.697 0.202
Br 11.883 10.031 8.657
Br 10.683 1.851 9.558
Br 10.271 0.775 5.580
Br 13.045 9.203 0.419
Br 11.948 2.629 2.701
Br 13.488 6.758 3.244
Br 12.934 3.600 6.225
```

Summary:
Volume: 815 Å³/f.u.
M_tot: 0.000 μB per formula unit
Raw formation energy: -0.483 eV/atom

---

No. 9
DFT (PBE) results for a relaxed TeMoSeBr2 crystal.

extended XYZ file:
```
5
Lattice="5.091 0.000 0.000 0.000 5.091 0.000 0.000 0.000 4.981" Properties=species:S:1:pos:R:3 pbc="T T T"
Te 0.000 0.000 0.000
Mo 2.545 2.545 2.490
Se 2.545 2.545 0.000
Br 0.000 2.545 2.490
Br 2.545 0.000 2.490
```

Summary:
Volume: 129 Å³/f.u.
M_tot: 0.317 μB per formula unit
ΔE to the lowest computed polymorph: 0.00 eV per formula unit
Raw formation energy: 0.283 eV/atom

---

No. 10
DFT (PBE) results for a relaxed Th2MoSe2Br4 crystal.

extended XYZ file:
```
9
Lattice="3.609 0.000 0.000 -1.805 3.126 0.000 0.000 0.000 24.086" Properties=species:S:1:pos:R:3 pbc="T T T"
Th 0.000 0.000 0.000
Th 0.000 2.084 8.322
Mo 0.000 2.084 16.440
Se 0.000 0.000 14.857
Se 0.000 0.000 18.023
Br 0.000 0.000 6.117
Br 0.000 0.000 10.521
Br 0.000 2.084 2.204
Br 0.000 2.084 21.888
```

Summary:
Volume: 272 Å³/f.u.
M_tot: 0.000 μB per formula unit
Raw formation energy: -1.085 eV/atom

---

No. 11
DFT (PBE) results for a relaxed TiMoSeBr2 crystal.

extended XYZ file:
```
5
Lattice="5.134 0.000 0.000 0.000 5.134 0.000 0.000 0.000 5.031" Properties=species:S:1:pos:R:3 pbc="T T T"
Ti 0.000 0.000 0.000
Mo 2.567 2.567 2.516
Se 0.000 0.000 2.516
Br 0.000 2.567 0.000
Br 2.567 0.000 0.000
```

Summary:
Volume: 133 Å³/f.u.
M_tot: 5.992 μB per formula unit
ΔE to the lowest computed polymorph: 0.00 eV per formula unit
Raw formation energy: 0.221 eV/atom

---

No. 12
DFT (PBE) results for a relaxed TiMoSeBr2 crystal.

extended XYZ file:
```
5
Lattice="5.168 0.000 0.000 0.000 5.168 0.000 0.000 0.000 5.076" Properties=species:S:1:pos:R:3 pbc="T T T"
Ti 0.000 0.000 0.000
Mo 2.584 2.584 2.538
Se 2.584 2.584 0.000
Br 0.000 2.584 2.538
Br 2.584 0.000 2.538
```

Summary:
Volume: 136 Å³/f.u.
M_tot: 5.265 μB per formula unit
ΔE to the lowest computed polymorph: 1.05 eV per formula unit
Raw formation energy: 0.430 eV/atom

---

> Number 5 is which compound?

TaMoSe2Br

---

> Which of these has the highest raw formation energy?

SiMo2SeBr